# 1
PrBPt | PBE | optimized geometry

The structure in extended XYZ format:
```
3
Lattice="0.000 3.276 3.276 3.276 0.000 3.276 3.276 3.276 0.000" Properties=species:S:1:pos:R:3 pbc="T T T"
B 1.638 1.638 1.638
Pr 0.000 0.000 0.000
Pt 4.914 4.914 4.914
```

**Final energy**: -5.15 eV per atom
**Excess energy over the best structure of this formula in the dataset**: 739 meV/atom

# 2
HfMgB4 | PBE | optimized geometry

The structure in extended XYZ format:
```
6
Lattice="3.109 0.000 0.000 -1.555 2.693 0.000 0.000 0.000 7.039" Properties=species:S:1:pos:R:3 pbc="T T T"
B 1.555 0.898 1.737
B 0.000 1.795 1.737
B 1.555 0.898 5.302
B 0.000 1.795 5.302
Hf 0.000 0.000 0.000
Mg 0.000 0.000 3.520
```

**Final energy**: -6.92 eV per atom
**Excess energy over the best structure of this formula in the dataset**: 0 meV/atom

# 3
Gd2DyAg4Sn4 | PBE | optimized geometry

The structure in extended XYZ format:
```
11
Lattice="-2.297 3.661 7.660 2.297 -3.661 7.660 2.297 3.661 -7.660" Properties=species:S:1:pos:R:3 pbc="T T T"
Ag 0.000 2.205 5.030
Ag 0.000 2.205 10.290
Ag 2.297 1.456 -2.630
Ag 2.297 1.456 2.630
Dy 0.000 0.000 0.000
Gd 0.000 3.661 1.954
Gd 2.297 0.000 5.707
Sn 0.000 0.000 3.269
Sn 0.000 0.000 12.052
Sn 0.000 1.449 7.660
Sn 2.297 2.212 0.000
```

**Final energy**: -4.25 eV per atom

# 4
NaUCu | PBE | optimized geometry

The structure in extended XYZ format:
```
3
Lattice="0.000 3.425 3.425 3.425 0.000 3.425 3.425 3.425 0.000" Properties=species:S:1:pos:R:3 pbc="T T T"
Cu 1.713 1.713 1.713
Na 5.138 5.138 5.138
U 0.000 0.000 0.000
```

**Final energy**: -3.67 eV per atom
**Excess energy over the best structure of this formula in the dataset**: 753 meV/atom

# 5
Sb2AsIr | PBE | optimized geometry

The structure in extended XYZ format:
```
4
Lattice="0.000 3.445 3.445 3.445 0.000 3.445 3.445 3.445 0.000" Properties=species:S:1:pos:R:3 pbc="T T T"
As 5.168 5.168 5.168
Ir 3.445 3.445 3.445
Sb 0.000 0.000 0.000
Sb 1.723 1.723 1.723
```

**Final energy**: -4.95 eV per atom

# 6
Cs2As2W | PBE | optimized geometry

The structure in extended XYZ format:
```
10
Lattice="-3.218 2.796 7.769 -4.412 -4.598 -6.159 1.613 -4.717 2.366" Properties=species:S:1:pos:R:3 pbc="T T T"
As -1.326 -2.174 -0.212
As -5.694 -3.205 0.710
As -0.323 -3.314 3.266
As -4.691 -4.346 4.188
Cs -3.301 -1.393 2.692
Cs -3.743 -4.133 -2.471
Cs -2.274 -2.386 6.447
Cs -2.716 -5.127 1.284
W 0.000 0.000 0.000
W 0.807 -2.359 1.183
```

**Final energy**: -4.84 eV per atom

What are the magnetization values for these records? In order: 0.000, 0.001, 0.000, 3.689, 0.000, 0.796 μB/cell.